(1)
# Cu2HgRu | Alexandria | PBE-GGA | relaxed
data_Cu2HgRu
_chemical_formula_sum 'Cu2 Hg1 Ru1'
_cell_length_a 2.859
_cell_length_b 2.859
_cell_length_c 7.334
_cell_angle_alpha 90.00
_cell_angle_beta 90.00
_cell_angle_gamma 90.00
_space_group_name_H-M_alt 'P 1'
_space_group_IT_number 1
_space_group_name_Hall 'P 1'
loop_
_atom_site_label
_atom_site_type_symbol
_atom_site_fract_x
_atom_site_fract_y
_atom_site_fract_z
_atom_site_occupancy
Cu1 Cu 0.000 0.000 0.228 1
Cu2 Cu 0.000 0.000 0.772 1
Hg1 Hg 0.500 0.500 0.500 1
Ru1 Ru 0.500 0.500 0.000 1
# Formation enthalpy at 0 K, eV per formula unit: 1.390
# D(E_F), states/eV per cell: 2.46
# E_tot, eV per atom: -4.09
# Size of the total moment, μB/f.u.: 1.2
# Calculated density, g/cm3: 11.877

(2)
# Cu2HgRu | Alexandria | PBE-GGA | relaxed
data_Cu2HgRu
_chemical_formula_sum 'Cu2 Hg1 Ru1'
_cell_length_a 2.924
_cell_length_b 2.924
_cell_length_c 6.963
_cell_angle_alpha 90.00
_cell_angle_beta 90.00
_cell_angle_gamma 90.00
_space_group_name_H-M_alt 'P 1'
_space_group_IT_number 1
_space_group_name_Hall 'P 1'
loop_
_atom_site_label
_atom_site_type_symbol
_atom_site_fract_x
_atom_site_fract_y
_atom_site_fract_z
_atom_site_occupancy
Cu1 Cu 0.000 0.000 0.000 1
Cu2 Cu 0.500 0.500 0.202 1
Hg1 Hg 0.000 0.000 0.479 1
Ru1 Ru 0.500 0.500 0.775 1
# Formation enthalpy at 0 K, eV per formula unit: 1.358
# D(E_F), states/eV per cell: 2.44
# E_tot, eV per atom: -4.10
# Size of the total moment, μB/f.u.: 1.3
# Calculated density, g/cm3: 11.963

(3)
# CuHgRu2 | Alexandria | PBE-GGA | relaxed
data_CuHgRu2
_chemical_formula_sum 'Cu1 Hg1 Ru2'
_cell_length_a 5.013
_cell_length_b 5.013
_cell_length_c 5.013
_cell_angle_alpha 134.92
_cell_angle_beta 134.92
_cell_angle_gamma 65.66
_space_group_name_H-M_alt 'P 1'
_space_group_IT_number 1
_space_group_name_Hall 'P 1'
loop_
_atom_site_label
_atom_site_type_symbol
_atom_site_fract_x
_atom_site_fract_y
_atom_site_fract_z
_atom_site_occupancy
Cu1 Cu 0.000 0.000 0.000 1
Hg1 Hg 0.500 0.500 0.000 1
Ru1 Ru 0.250 0.750 0.500 1
Ru2 Ru 0.750 0.250 0.500 1
# Formation enthalpy at 0 K, eV per formula unit: 2.300
# D(E_F), states/eV per cell: 3.68
# E_tot, eV per atom: -5.16
# Size of the total moment, μB/f.u.: 3.0
# Calculated density, g/cm3: 12.443

(4)
# Cu4HgRu | Alexandria | PBE-GGA | relaxed
data_Cu4HgRu
_chemical_formula_sum 'Cu4 Hg1 Ru1'
_cell_length_a 4.879
_cell_length_b 4.879
_cell_length_c 4.879
_cell_angle_alpha 60.00
_cell_angle_beta 60.00
_cell_angle_gamma 60.00
_space_group_name_H-M_alt 'P 1'
_space_group_IT_number 1
_space_group_name_Hall 'P 1'
loop_
_atom_site_label
_atom_site_type_symbol
_atom_site_fract_x
_atom_site_fract_y
_atom_site_fract_z
_atom_site_occupancy
Cu1 Cu 0.124 0.124 0.124 1
Cu2 Cu 0.124 0.124 0.627 1
Cu3 Cu 0.124 0.627 0.124 1
Cu4 Cu 0.627 0.124 0.124 1
Hg1 Hg 0.500 0.500 0.500 1
Ru1 Ru 0.750 0.750 0.750 1
# Formation enthalpy at 0 K, eV per formula unit: 1.713
# D(E_F), states/eV per cell: 2.13
# E_tot, eV per atom: -4.04
# Size of the total moment, μB/f.u.: 0.0
# Calculated density, g/cm3: 11.238

(5)
# CuHgRu2 | Alexandria | PBE-GGA | relaxed
data_CuHgRu2
_chemical_formula_sum 'Cu1 Hg1 Ru2'
_cell_length_a 2.793
_cell_length_b 4.652
_cell_length_c 4.792
_cell_angle_alpha 90.00
_cell_angle_beta 95.41
_cell_angle_gamma 90.00
_space_group_name_H-M_alt 'P 1'
_space_group_IT_number 1
_space_group_name_Hall 'P 1'
loop_
_atom_site_label
_atom_site_type_symbol
_atom_site_fract_x
_atom_site_fract_y
_atom_site_fract_z
_atom_site_occupancy
Cu1 Cu 0.000 0.000 0.000 1
Hg1 Hg 0.500 0.000 0.500 1
Ru1 Ru 0.218 0.500 0.773 1
Ru2 Ru 0.782 0.500 0.227 1
# Formation enthalpy at 0 K, eV per formula unit: 2.244
# D(E_F), states/eV per cell: 5.02
# E_tot, eV per atom: -5.18
# Size of the total moment, μB/f.u.: 0.0
# Calculated density, g/cm3: 12.492

(6)
# CuHgRu | Alexandria | PBE-GGA | relaxed
data_CuHgRu
_chemical_formula_sum 'Cu1 Hg1 Ru1'
_cell_length_a 4.220
_cell_length_b 4.220
_cell_length_c 4.220
_cell_angle_alpha 60.00
_cell_angle_beta 60.00
_cell_angle_gamma 60.00
_space_group_name_H-M_alt 'P 1'
_space_group_IT_number 1
_space_group_name_Hall 'P 1'
loop_
_atom_site_label
_atom_site_type_symbol
_atom_site_fract_x
_atom_site_fract_y
_atom_site_fract_z
_atom_site_occupancy
Cu1 Cu 0.000 0.000 0.000 1
Hg1 Hg 0.250 0.250 0.250 1
Ru1 Ru 0.750 0.750 0.750 1
# Formation enthalpy at 0 K, eV per formula unit: 2.221
# D(E_F), states/eV per cell: 5.63
# E_tot, eV per atom: -3.82
# Size of the total moment, μB/f.u.: 1.2
# Calculated density, g/cm3: 11.413

(7)
# CuHgRu2 | Alexandria | PBE-GGA | relaxed
data_CuHgRu2
_chemical_formula_sum 'Cu1 Hg1 Ru2'
_cell_length_a 9.143
_cell_length_b 9.143
_cell_length_c 9.143
_cell_angle_alpha 17.61
_cell_angle_beta 17.61
_cell_angle_gamma 17.61
_space_group_name_H-M_alt 'P 1'
_space_group_IT_number 1
_space_group_name_Hall 'P 1'
loop_
_atom_site_label
_atom_site_type_symbol
_atom_site_fract_x
_atom_site_fract_y
_atom_site_fract_z
_atom_site_occupancy
Cu1 Cu 0.000 0.000 0.000 1
Hg1 Hg 0.500 0.500 0.500 1
Ru1 Ru 0.257 0.257 0.257 1
Ru2 Ru 0.743 0.743 0.743 1
# Formation enthalpy at 0 K, eV per formula unit: 2.152
# D(E_F), states/eV per cell: 3.36
# E_tot, eV per atom: -5.20
# Size of the total moment, μB/f.u.: 0.0
# Calculated density, g/cm3: 12.684

(8)
# CuHgRu2 | Alexandria | PBE-GGA | relaxed
data_CuHgRu2
_chemical_formula_sum 'Cu1 Hg1 Ru2'
_cell_length_a 5.264
_cell_length_b 5.264
_cell_length_c 5.264
_cell_angle_alpha 147.40
_cell_angle_beta 127.79
_cell_angle_gamma 62.92
_space_group_name_H-M_alt 'P 1'
_space_group_IT_number 1
_space_group_name_Hall 'P 1'
loop_
_atom_site_label
_atom_site_type_symbol
_atom_site_fract_x
_atom_site_fract_y
_atom_site_fract_z
_atom_site_occupancy
Cu1 Cu 0.000 0.000 0.000 1
Hg1 Hg 0.250 0.750 0.500 1
Ru1 Ru 0.521 0.521 0.000 1
Ru2 Ru 0.756 0.256 0.500 1
# Formation enthalpy at 0 K, eV per formula unit: 2.172
# D(E_F), states/eV per cell: 4.85
# E_tot, eV per atom: -5.19
# Size of the total moment, μB/f.u.: 0.0
# Calculated density, g/cm3: 12.598

(9)
# CuHg4Ru | Alexandria | PBE-GGA | relaxed
data_CuHg4Ru
_chemical_formula_sum 'Cu1 Hg4 Ru1'
_cell_length_a 5.644
_cell_length_b 5.644
_cell_length_c 5.644
_cell_angle_alpha 60.00
_cell_angle_beta 60.00
_cell_angle_gamma 60.00
_space_group_name_H-M_alt 'P 1'
_space_group_IT_number 1
_space_group_name_Hall 'P 1'
loop_
_atom_site_label
_atom_site_type_symbol
_atom_site_fract_x
_atom_site_fract_y
_atom_site_fract_z
_atom_site_occupancy
Cu1 Cu 0.000 0.000 0.000 1
Hg1 Hg 0.125 0.625 0.625 1
Hg2 Hg 0.625 0.125 0.625 1
Hg3 Hg 0.625 0.625 0.125 1
Hg4 Hg 0.625 0.625 0.625 1
Ru1 Ru 0.250 0.250 0.250 1
# Formation enthalpy at 0 K, eV per formula unit: 5.197
# D(E_F), states/eV per cell: 5.65
# E_tot, eV per atom: -1.56
# Size of the total moment, μB/f.u.: 1.5
# Calculated density, g/cm3: 12.631

(10)
# Cu2HgRu | Alexandria | PBE-GGA | relaxed
data_Cu2HgRu
_chemical_formula_sum 'Cu2 Hg1 Ru1'
_cell_length_a 2.692
_cell_length_b 4.239
_cell_length_c 5.377
_cell_angle_alpha 90.00
_cell_angle_beta 104.48
_cell_angle_gamma 90.00
_space_group_name_H-M_alt 'P 1'
_space_group_IT_number 1
_space_group_name_Hall 'P 1'
loop_
_atom_site_label
_atom_site_type_symbol
_atom_site_fract_x
_atom_site_fract_y
_atom_site_fract_z
_atom_site_occupancy
Cu1 Cu 0.000 0.000 0.000 1
Cu2 Cu 0.129 0.500 0.254 1
Hg1 Hg 0.749 0.000 0.492 1
Ru1 Ru 0.405 0.500 0.806 1
# Formation enthalpy at 0 K, eV per formula unit: 1.545
# D(E_F), states/eV per cell: 3.39
# E_tot, eV per atom: -4.06
# Size of the total moment, μB/f.u.: 0.0
# Calculated density, g/cm3: 11.984

(11)
# CuHgRu | Alexandria | PBE-GGA | relaxed
data_CuHgRu
_chemical_formula_sum 'Cu1 Hg1 Ru1'
_cell_length_a 2.860
_cell_length_b 2.860
_cell_length_c 6.746
_cell_angle_alpha 90.00
_cell_angle_beta 90.00
_cell_angle_gamma 120.00
_space_group_name_H-M_alt 'P 1'
_space_group_IT_number 1
_space_group_name_Hall 'P 1'
loop_
_atom_site_label
_atom_site_type_symbol
_atom_site_fract_x
_atom_site_fract_y
_atom_site_fract_z
_atom_site_occupancy
Cu1 Cu 0.000 0.000 0.000 1
Hg1 Hg 0.667 0.333 0.342 1
Ru1 Ru 0.333 0.667 0.700 1
# Formation enthalpy at 0 K, eV per formula unit: 1.448
# D(E_F), states/eV per cell: 2.47
# E_tot, eV per atom: -4.08
# Size of the total moment, μB/f.u.: 0.7
# Calculated density, g/cm3: 12.690

(12)
# Cu2HgRu | Alexandria | PBE-GGA | relaxed
data_Cu2HgRu
_chemical_formula_sum 'Cu2 Hg1 Ru1'
_cell_length_a 4.592
_cell_length_b 4.592
_cell_length_c 4.592
_cell_angle_alpha 127.58
_cell_angle_beta 127.58
_cell_angle_gamma 77.30
_space_group_name_H-M_alt 'P 1'
_space_group_IT_number 1
_space_group_name_Hall 'P 1'
loop_
_atom_site_label
_atom_site_type_symbol
_atom_site_fract_x
_atom_site_fract_y
_atom_site_fract_z
_atom_site_occupancy
Cu1 Cu 0.250 0.750 0.500 1
Cu2 Cu 0.750 0.250 0.500 1
Hg1 Hg 0.000 0.000 0.000 1
Ru1 Ru 0.500 0.500 0.000 1
# Formation enthalpy at 0 K, eV per formula unit: 1.580
# D(E_F), states/eV per cell: 4.72
# E_tot, eV per atom: -4.05
# Size of the total moment, μB/f.u.: 0.5
# Calculated density, g/cm3: 12.066